No. 1
# CaGa3Ge

Crystalline CaGa3Ge at its relaxed geometry (PBE-GGA, Alexandria).

As for the offset from the most stable computed form: 421 meV/atom. The uncorrected energy comes out at -15.12 eV/cell.

Unit cell a=5.0705 b=5.0705 c=5.0705 alpha=90.00 beta=90.00 gamma=90.00
With the nearest neighbours (Å) after each atom.
Space group Pm-3m (No. 221)
Asymmetric unit:
Ca: 0.0000 0.0000 0.0000  12 Ga 3.59
Ga: 0.0000 0.5000 0.5000  2 Ge 2.54
Ge: 0.5000 0.5000 0.5000  6 Ga 2.54

No. 2
# Rb2Na3Ge2

Crystalline Rb2Na3Ge2 at its relaxed geometry (PBE-GGA, Alexandria).

The uncorrected energy comes out at -30.38 eV/cell.

Unit cell a=13.3792 b=5.3623 c=8.7315 alpha=90.00 beta=124.75 gamma=90.00
With the nearest neighbours (Å) after each atom.
Space group C2/m (No. 12)
Asymmetric unit:
Rb: 0.1567 0.0000 0.2828  2 Ge 3.61-3.91, 4 Na 3.84-4.01
Na: 0.0000 0.5000 0.5000  4 Ge 2.97, 2 Na 3.21
Na: 0.1560 0.5000 0.9471  3 Ge 3.10-3.39, 3 Na 3.21-3.42
Ge: 0.0943 0.0000 0.6689  1 Ge 2.56

No. 3
# NbHPd3

Crystalline NbHPd3 at its relaxed geometry (PBE-GGA, Alexandria).

As for the offset from the most stable computed form: 93 meV/atom. The uncorrected energy comes out at -29.38 eV/cell.

Unit cell a=4.0544 b=4.0544 c=4.0544 alpha=90.00 beta=90.00 gamma=90.00
With the nearest neighbours (Å) after each atom.
Space group Pm-3m (No. 221)
Asymmetric unit:
Nb: 0.0000 0.0000 0.0000  12 Pd 2.87
H: 0.5000 0.5000 0.5000  6 Pd 2.03
Pd: 0.0000 0.5000 0.5000  2 H 2.03

No. 4
# RbCa2GaPt

Crystalline RbCa2GaPt at its relaxed geometry (PBE-GGA, Alexandria).

The uncorrected energy comes out at -15.89 eV/cell.

Unit cell a=5.7313 b=5.7313 c=4.9860 alpha=90.00 beta=90.00 gamma=90.00
With the nearest neighbours (Å) after each atom.
Space group P4/mmm (No. 123)
Asymmetric unit:
Rb: 0.0000 0.0000 0.0000  8 Ca 3.80, 4 Ga 4.05
Ca: 0.0000 0.5000 0.5000  2 Pt 2.87
Ga: 0.5000 0.5000 0.0000  2 Pt 2.49
Pt: 0.5000 0.5000 0.5000  2 Ga 2.49

No. 5
# Ac2DyInHg6

Crystalline Ac2DyInHg6 at its relaxed geometry (PBE-GGA, Alexandria).

The uncorrected energy comes out at -71.45 eV/cell.

Unit cell a=11.0444 b=11.0444 c=11.0444 alpha=90.00 beta=90.00 gamma=90.00
With the nearest neighbours (Å) after each atom.
Space group Fm-3m (No. 225)
Asymmetric unit:
Ac: 0.2500 0.2500 0.2500  12 Hg 3.90
Dy: 0.0000 0.0000 0.0000  6 Hg 2.80
In: 0.0000 0.0000 0.5000  6 Hg 2.73
Hg: 0.0000 0.0000 0.2532  1 In 2.73, 1 Dy 2.80

No. 6
# SrTe2Pb

Crystalline SrTe2Pb at its relaxed geometry (PBE-GGA, Alexandria).

The formation energy from raw total energies is -0.385 eV per atom. The uncorrected energy comes out at -52.86 eV/cell.

Unit cell a=8.0722 b=8.0722 c=8.0722 alpha=90.00 beta=90.00 gamma=90.00
With the nearest neighbours (Å) after each atom.
Space group F-43m (No. 216)
Asymmetric unit:
Sr: 0.0000 0.0000 0.0000  4 Pb 3.50, 4 Te 3.50
Te: 0.0000 0.0000 0.5000  4 Te 3.50, 4 Pb 3.50
Te: 0.2500 0.2500 0.2500  4 Te 3.50, 4 Sr 3.50
Pb: 0.2500 0.2500 0.7500  4 Te 3.50, 4 Sr 3.50

No. 7
# Rb2Ac2PuO6

Crystalline Rb2Ac2PuO6 at its relaxed geometry (PBE-GGA, Alexandria).

The formation energy from raw total energies is -2.656 eV per atom. The uncorrected energy comes out at -166.90 eV/cell.

Unit cell a=6.5509 b=11.2168 c=6.9940 alpha=90.00 beta=105.76 gamma=90.00
With the nearest neighbours (Å) after each atom.
Space group C2/m (No. 12)
Asymmetric unit:
Rb: 0.0000 0.1601 0.0000  4 O 2.97-3.00
Ac: 0.0000 0.3351 0.5000  6 O 2.49-2.58
Pu: 0.0000 0.0000 0.5000  6 O 2.22-2.30
O: 0.1980 0.1570 0.6650  1 Pu 2.30, 2 Ac 2.49-2.55
O: 0.2395 0.0000 0.3288  1 Pu 2.22

No. 8
# Ac2Ga3Pt6

Crystalline Ac2Ga3Pt6 at its relaxed geometry (PBE-GGA, Alexandria).

The uncorrected energy comes out at -62.39 eV/cell.

Unit cell a=7.6507 b=7.6507 c=4.4618 alpha=90.00 beta=90.00 gamma=120.00
With the nearest neighbours (Å) after each atom.
Space group P-62m (No. 189)
Asymmetric unit:
Ac: 0.3333 0.6667 0.0000  9 Pt 3.14-3.49, 6 Ga 3.30
Ga: 0.0000 0.6322 0.5000  5 Pt 2.53-2.60
Pt: 0.0000 0.3010 0.5000  3 Ga 2.53-2.60
Pt: 0.0000 0.7909 0.0000  2 Ga 2.54, 2 Pt 2.77

No. 9
# FeCoSe

Crystalline FeCoSe at its relaxed geometry (PBE-GGA, Alexandria).

The formation energy from raw total energies is 0.214 eV per atom. As for the offset from the most stable computed form: 178 meV/atom. The uncorrected energy comes out at -36.82 eV/cell.

Unit cell a=3.2671 b=3.2801 c=7.5023 alpha=90.00 beta=90.00 gamma=90.00
With the nearest neighbours (Å) after each atom.
Space group Imm2 (No. 44)
Asymmetric unit:
Fe: 0.0000 0.0000 0.0000  5 Se 2.45-2.65, 5 Co 2.58-2.61
Co: 0.0000 0.0000 0.6515  5 Se 2.43-2.66, 5 Fe 2.58-2.61
Se: 0.0000 0.0000 0.3272  5 Co 2.43-2.66, 5 Fe 2.45-2.65

No. 10
# KCd3Ag

Crystalline KCd3Ag at its relaxed geometry (PBE-GGA, Alexandria).

As for the offset from the most stable computed form: 48 meV/atom. The uncorrected energy comes out at -13.60 eV/cell.

Unit cell a=7.2303 b=7.2303 c=6.1358 alpha=90.00 beta=90.00 gamma=120.00
With the nearest neighbours (Å) after each atom.
Space group P6_3/mmc (No. 194)
Asymmetric unit:
K: 0.3333 0.6667 0.2500  12 Cd 3.54-3.63
Cd: 0.1928 0.3857 0.7500  2 Ag 2.86, 2 Cd 3.05
Ag: 0.0000 0.0000 0.0000  6 Cd 2.86, 2 Ag 3.07

No. 11
# Tm3NiBi2

Crystalline Tm3NiBi2 at its relaxed geometry (PBE-GGA, Alexandria).

The uncorrected energy comes out at -58.06 eV/cell.

Unit cell a=6.0626 b=15.7195 c=3.5599 alpha=90.00 beta=90.00 gamma=90.00
With the nearest neighbours (Å) after each atom.
Space group Cmmm (No. 65)
Asymmetric unit:
Tm: 0.0000 0.0000 0.0000  2 Ni 3.03, 4 Bi 3.29
Tm: 0.0000 0.3834 0.5000  2 Ni 2.56
Ni: 0.0000 0.5000 0.0000  4 Tm 2.56
Bi: 0.0000 0.1759 0.5000  5 Tm 3.17-3.29

No. 12
# LiNiP2

Crystalline LiNiP2 at its relaxed geometry (PBE-GGA, Alexandria).

The uncorrected energy comes out at -72.05 eV/cell.

Unit cell a=5.8723 b=5.8723 c=5.8723 alpha=90.00 beta=90.00 gamma=90.00
With the nearest neighbours (Å) after each atom.
Space group F-43m (No. 216)
Asymmetric unit:
Li: 0.0000 0.0000 0.0000  4 P 2.54, 4 Ni 2.54
Ni: 0.2500 0.2500 0.7500  4 Li 2.54, 4 P 2.54
P: 0.0000 0.0000 0.5000  4 Ni 2.54, 4 P 2.54
P: 0.2500 0.2500 0.2500  4 Li 2.54, 4 P 2.54

No. 13
# ZrOs2Se

Crystalline ZrOs2Se at its relaxed geometry (PBE-GGA, Alexandria).

The formation energy from raw total energies is 0.863 eV per atom. The uncorrected energy comes out at -124.16 eV/cell.

Unit cell a=5.8392 b=5.8392 c=11.1153 alpha=90.00 beta=90.00 gamma=90.00
With the nearest neighbours (Å) after each atom.
Space group I-42d (No. 122)
Asymmetric unit:
Zr: 0.0000 0.0000 0.0000  4 Os 2.64
Os: 0.2071 0.2500 0.6250  2 Se 2.35
Se: 0.0000 0.0000 0.5000  4 Os 2.35